No. 1
# FeTcPt2

Crystalline FeTcPt2 at its relaxed geometry (PBE-GGA, Alexandria).

Summary:
The value obtained for the calculated total energy is -7.90 eV/atom. As for the size of the total moment: 2.96 μB/cell. The value obtained for the volume is 58.0 Å³ per cell. The formation energy from the elements comes out at -0.17 eV/atom.

Cell: 2.7290 2.7290 7.7846 Å, 90.00 90.00 90.00°
Sites, in units of the cell vectors:
Fe 0.0000 0.0000 0.0000
Tc 0.0000 0.0000 0.5000
Pt 0.5000 0.5000 0.2454
Pt 0.5000 0.5000 0.7546

No. 2
# FeTcPt2

Crystalline FeTcPt2 at its relaxed geometry (PBE-GGA, Alexandria).

Summary:
The value obtained for the calculated total energy is -7.87 eV/atom. As for the size of the total moment: 3.05 μB/cell. The value obtained for the volume is 58.0 Å³ per cell. The formation energy from the elements comes out at -0.14 eV/atom.

Cell: 2.7174 3.9544 5.3989 Å, 90.00 90.14 90.00°
Sites, in units of the cell vectors:
Fe 0.0000 0.0000 0.0000
Tc 0.0000 0.0000 0.5000
Pt 0.4982 0.5000 0.2501
Pt 0.5018 0.5000 0.7499

No. 3
# FeTcPt2

Crystalline FeTcPt2 at its relaxed geometry (PBE-GGA, Alexandria).

Summary:
The value obtained for the calculated total energy is -7.82 eV/atom. As for the size of the total moment: 2.19 μB/cell. The value obtained for the volume is 57.7 Å³ per cell. The formation energy from the elements comes out at -0.10 eV/atom.

Cell: 4.7255 4.7255 4.7255 Å, 131.65 131.65 70.78°
Sites, in units of the cell vectors:
Fe 0.0000 0.0000 0.0000
Tc 0.7500 0.2500 0.5000
Pt 0.2500 0.7500 0.5000
Pt 0.5000 0.5000 0.0000

No. 4
# FeTcPt2

Crystalline FeTcPt2 at its relaxed geometry (PBE-GGA, Alexandria).

Summary:
The value obtained for the calculated total energy is -7.85 eV/atom. As for the size of the total moment: 2.10 μB/cell. The value obtained for the volume is 57.3 Å³ per cell. The formation energy from the elements comes out at -0.12 eV/atom.

Cell: 2.7179 2.7179 7.7568 Å, 90.00 90.00 90.00°
Sites, in units of the cell vectors:
Fe 0.0000 0.0000 0.0000
Tc 0.5000 0.5000 0.7712
Pt 0.0000 0.0000 0.5162
Pt 0.5000 0.5000 0.2372

No. 5
# TiFeTcPt

Crystalline TiFeTcPt at its relaxed geometry (PBE-GGA, Alexandria).

Summary:
The value obtained for the calculated total energy is -8.54 eV/atom. As for the size of the total moment: 4.36 μB/cell. The value obtained for the volume is 58.3 Å³ per cell. The formation energy from the elements comes out at -0.34 eV/atom.

Cell: 4.3533 4.3533 4.3533 Å, 60.00 60.00 60.00°
Sites, in units of the cell vectors:
Ti 0.0000 0.0000 0.0000
Fe 0.5000 0.5000 0.5000
Tc 0.2500 0.2500 0.2500
Pt 0.7500 0.7500 0.7500

No. 6
# VFeTcPt

Crystalline VFeTcPt at its relaxed geometry (PBE-GGA, Alexandria).

Summary:
The value obtained for the calculated total energy is -8.64 eV/atom. As for the size of the total moment: 3.71 μB/cell. The value obtained for the volume is 55.9 Å³ per cell. The formation energy from the elements comes out at -0.14 eV/atom.

Cell: 4.2912 4.2912 4.2912 Å, 60.00 60.00 60.00°
Sites, in units of the cell vectors:
V 0.0000 0.0000 0.0000
Fe 0.5000 0.5000 0.5000
Tc 0.7500 0.7500 0.7500
Pt 0.2500 0.2500 0.2500

No. 7
# ZnFeTcPt

Crystalline ZnFeTcPt at its relaxed geometry (PBE-GGA, Alexandria).

Summary:
The value obtained for the calculated total energy is -6.59 eV/atom. As for the size of the total moment: 2.98 μB/cell. The value obtained for the volume is 55.8 Å³ per cell. The formation energy from the elements comes out at -0.05 eV/atom.

Cell: 4.2880 4.2880 4.2880 Å, 60.00 60.00 60.00°
Sites, in units of the cell vectors:
Zn 0.0000 0.0000 0.0000
Fe 0.5000 0.5000 0.5000
Tc 0.7500 0.7500 0.7500
Pt 0.2500 0.2500 0.2500

No. 8
# FeTePt2

Crystalline FeTePt2 at its relaxed geometry (PBE-GGA, Alexandria).

Summary:
The value obtained for the calculated total energy is -5.82 eV/atom. As for the size of the total moment: 3.25 μB/cell. The value obtained for the volume is 68.4 Å³ per cell. Its formation energy without anion corrections is 0.10 eV per atom.

Cell: 4.7847 4.7847 4.4915 Å, 103.68 103.68 43.44°
Sites, in units of the cell vectors:
Fe 0.0000 0.0000 0.0000
Te 0.5000 0.5000 0.5000
Pt 0.2543 0.2543 0.7661
Pt 0.7457 0.7457 0.2339